# 1
DFT (PBEsol) results for a geometry-optimized Al2FeOs structure.

Summary:
Total moment (μB/cell): 2.03
Energy of formation (meV/atom): -118

Geometry as CIF:
```
data_Al2FeOs
_cell_length_a 8.3113
_cell_length_b 8.3113
_cell_length_c 8.3113
_cell_angle_alpha 19.07
_cell_angle_beta 19.07
_cell_angle_gamma 19.07
_space_group_name_H-M_alt 'P 1'
_space_group_IT_number 1
loop_
_space_group_symop_operation_xyz
'x,y,z'
loop_
_atom_site_label
_atom_site_type_symbol
_atom_site_fract_x
_atom_site_fract_y
_atom_site_fract_z
Al1 Al 0.2478 0.2478 0.2478
Al2 Al 0.7522 0.7522 0.7522
Fe1 Fe 0.5000 0.5000 0.5000
Os1 Os 0.0000 0.0000 0.0000
```

---

# 2
DFT (PBEsol) results for a geometry-optimized AlFeOs structure.

Summary:
Total moment (μB/cell): 0.83
Energy of formation (meV/atom): -194

Geometry as CIF:
```
data_AlFeOs
_cell_length_a 5.4977
_cell_length_b 5.4977
_cell_length_c 5.4977
_cell_angle_alpha 151.46
_cell_angle_beta 151.46
_cell_angle_gamma 40.81
_space_group_name_H-M_alt 'P 1'
_space_group_IT_number 1
loop_
_space_group_symop_operation_xyz
'x,y,z'
loop_
_atom_site_label
_atom_site_type_symbol
_atom_site_fract_x
_atom_site_fract_y
_atom_site_fract_z
Al1 Al 0.0000 0.0000 0.0000
Fe1 Fe 0.6648 0.6648 0.0000
Os1 Os 0.3156 0.3156 0.0000
```